Compound: CrNi2BF
Source: Alexandria via LeMat-Bulk
Functional: PBE+U
Structure: relaxed

Properties
N(E_F) ... 1.43 states/eV per cell
Calculated total energy ... -3.520 eV/atom
Calculated volume ... 13.27 Å³ per atom

Cell: 3.9679 3.9679 4.2145 Å, 90.00 90.00 90.00°
Last column: nearest neighbours and their distance in Å.
Space group P4/mmm (No. 123)
Inequivalent atoms, fractional coordinates:
Cr 0.0000 0.0000 0.0000 [1 per cell]  2 F 2.11
Ni 0.0000 0.5000 0.5000 [2 per cell]  2 F 1.98
B 0.5000 0.5000 0.0000 [1 per cell]  4 Cr 2.81, 8 Ni 2.89
F 0.0000 0.0000 0.5000 [1 per cell]  4 Ni 1.98, 2 Cr 2.11